VASP calculation (GGA-PBE) on a geometry-optimized SrNdTlGe structure.

The structure in CIF format:
```
data_SrNdTlGe
_space_group_name_H-M_alt 'P 1'
_space_group_IT_number 1
_cell_length_a 5.4900
_cell_length_b 5.4900
_cell_length_c 5.4900
_cell_angle_alpha 60.00
_cell_angle_beta 60.00
_cell_angle_gamma 60.00
loop_
_space_group_symop_operation_xyz
'x,y,z'
loop_
_atom_site_label
_atom_site_fract_x
_atom_site_fract_y
_atom_site_fract_z
_atom_site_occupancy
Ge1 0.2500 0.2500 0.2500 1
Tl1 0.7500 0.7500 0.7500 1
Nd1 0.5000 0.5000 0.5000 1
Sr1 0.0000 0.0000 0.0000 1
```

Values from the calculation:
DOS(E_F) = 1.776 states/eV per cell
Uncorrected energy = -3.752 eV/atom
Formation energy = -38 kJ/mol of atoms
Space-group type = F-43m

=====

VASP calculation (GGA-PBE) on a geometry-optimized SrNd2Zn2Ge2 structure.

The structure in CIF format:
```
data_SrNd2Zn2Ge2
_space_group_name_H-M_alt 'P 1'
_space_group_IT_number 1
_cell_length_a 4.2584
_cell_length_b 4.2584
_cell_length_c 12.1368
_cell_angle_alpha 79.90
_cell_angle_beta 79.90
_cell_angle_gamma 60.00
loop_
_space_group_symop_operation_xyz
'x,y,z'
loop_
_atom_site_label
_atom_site_fract_x
_atom_site_fract_y
_atom_site_fract_z
_atom_site_occupancy
Ge1 0.2687 0.2687 0.1938 1
Ge2 0.7313 0.7313 0.8062 1
Sr1 0.0000 0.0000 0.0000 1
Zn1 0.4028 0.4028 0.7915 1
Zn2 0.5972 0.5972 0.2085 1
Nd1 0.1234 0.1234 0.6297 1
Nd2 0.8766 0.8766 0.3703 1
```

Values from the calculation:
DOS(E_F) = 3.720 states/eV per cell
Uncorrected energy = -3.709 eV/atom
Formation energy = -41 kJ/mol of atoms
Space-group type = R-3m

=====

VASP calculation (GGA-PBE) on a geometry-optimized SrNdZnGe structure.

The structure in CIF format:
```
data_SrNdZnGe
_space_group_name_H-M_alt 'P 1'
_space_group_IT_number 1
_cell_length_a 5.3171
_cell_length_b 5.3171
_cell_length_c 5.3171
_cell_angle_alpha 60.00
_cell_angle_beta 60.00
_cell_angle_gamma 60.00
loop_
_space_group_symop_operation_xyz
'x,y,z'
loop_
_atom_site_label
_atom_site_fract_x
_atom_site_fract_y
_atom_site_fract_z
_atom_site_occupancy
Nd1 0.5000 0.5000 0.5000 1
Ge1 0.2500 0.2500 0.2500 1
Sr1 0.0000 0.0000 0.0000 1
Zn1 0.7500 0.7500 0.7500 1
```

Values from the calculation:
DOS(E_F) = 3.584 states/eV per cell
Uncorrected energy = -3.477 eV/atom
Formation energy = -38 kJ/mol of atoms
Space-group type = F-43m